1.
# NaVAg2S4

NaVAg2S4 after structural relaxation (PBE-GGA, Alexandria).

abc: 6.7187 6.7101 6.0524
angles: 63.28 63.14 53.58
Sites, in units of the cell vectors:
1 Na 0.0000 0.0000 0.0000
2 V 0.5017 0.5017 0.4983
3 Ag 0.2512 0.2512 0.2488
4 Ag 0.7512 0.7512 0.7488
5 S 0.1732 0.5890 0.4110
6 S 0.4137 0.8310 0.5863
7 S 0.5890 0.1732 0.8268
8 S 0.8310 0.4137 0.1690

raw formation energy	-599	meV/atom
V	190	Å³ per cell
space group	Fmm2, No. 42
magnetization	0.0	μB/cell

2.
# Na2Ag3WS6

Na2Ag3WS6 after structural relaxation (PBE-GGA, Alexandria).

abc: 7.1732 7.1732 6.3781
angles: 99.53 99.53 125.15
Sites, in units of the cell vectors:
1 Na 0.1828 0.8172 0.0000
2 Na 0.8172 0.1828 0.0000
3 Ag 0.0000 0.0000 0.5000
4 Ag 0.3400 0.6600 0.5000
5 Ag 0.6600 0.3400 0.5000
6 W 0.5000 0.5000 0.0000
7 S 0.1419 0.4197 0.7395
8 S 0.2566 0.2566 0.1792
9 S 0.4197 0.1419 0.7395
10 S 0.5803 0.8581 0.2605
11 S 0.7434 0.7434 0.8208
12 S 0.8581 0.5803 0.2605

raw formation energy	-311	meV/atom
V	250	Å³ per cell
DOS(E_F)	7.3	states/eV per cell
space group	C2/m, No. 12
magnetization	0.0	μB/cell

3.
# NaAgWS4

NaAgWS4 after structural relaxation (PBE-GGA, Alexandria).

abc: 7.0710 7.0710 7.7658
angles: 90.00 90.00 112.23
Sites, in units of the cell vectors:
1 Na 0.0000 0.0000 0.0000
2 Na 0.0000 0.0000 0.5000
3 Ag 0.3807 0.6193 0.7500
4 Ag 0.6193 0.3807 0.2500
5 W 0.3625 0.6375 0.2500
6 W 0.6375 0.3625 0.7500
7 S 0.2330 0.2950 0.2500
8 S 0.2536 0.7464 0.0196
9 S 0.2536 0.7464 0.4804
10 S 0.2950 0.2330 0.7500
11 S 0.7050 0.7670 0.2500
12 S 0.7464 0.2536 0.5196
13 S 0.7464 0.2536 0.9804
14 S 0.7670 0.7050 0.7500

raw formation energy	-554	meV/atom
V	359	Å³ per cell
space group	Cmcm, No. 63
magnetization	0.0	μB/cell

4.
# NaYAgS2

NaYAgS2 after structural relaxation (PBE-GGA, Alexandria).

abc: 6.4551 5.2026 7.5071
angles: 90.00 90.65 90.00
Sites, in units of the cell vectors:
1 Na 0.0000 0.0075 0.2500
2 Na 0.0000 0.9925 0.7500
3 Y 0.5000 0.4993 0.7500
4 Y 0.5000 0.5007 0.2500
5 Ag 0.5000 0.0000 0.0000
6 Ag 0.5000 0.0000 0.5000
7 S 0.2300 0.3386 0.9976
8 S 0.2300 0.6614 0.4976
9 S 0.7700 0.3386 0.5024
10 S 0.7700 0.6614 0.0024

raw formation energy	-998	meV/atom
V	252	Å³ per cell
DOS(E_F)	4.6	states/eV per cell
space group	P2/c, No. 13
magnetization	0.0	μB/cell

5.
# Na4Zr3AgS8

Na4Zr3AgS8 after structural relaxation (PBE-GGA, Alexandria).

abc: 7.9835 7.9835 7.9835
angles: 56.82 56.82 56.82
Sites, in units of the cell vectors:
1 Na 0.0000 0.0000 0.0000
2 Na 0.0000 0.5000 0.5000
3 Na 0.5000 0.0000 0.5000
4 Na 0.5000 0.5000 0.0000
5 Zr 0.0000 0.0000 0.5000
6 Zr 0.0000 0.5000 0.0000
7 Zr 0.5000 0.0000 0.0000
8 Ag 0.5000 0.5000 0.5000
9 S 0.2242 0.7487 0.7487
10 S 0.2406 0.2406 0.2406
11 S 0.2513 0.2513 0.7758
12 S 0.2513 0.7758 0.2513
13 S 0.7487 0.2242 0.7487
14 S 0.7487 0.7487 0.2242
15 S 0.7594 0.7594 0.7594
16 S 0.7758 0.2513 0.2513

raw formation energy	-1298	meV/atom
V	333	Å³ per cell
DOS(E_F)	4.2	states/eV per cell
space group	R-3m, No. 166
magnetization	0.0	μB/cell

6.
# Na3AgSb

Na3AgSb after structural relaxation (PBE-GGA, Alexandria).

abc: 7.5287 7.5287 7.5287
angles: 85.61 119.34 125.92
Sites, in units of the cell vectors:
1 Na 0.1900 0.0024 0.6877
2 Na 0.2489 0.0187 0.2676
3 Na 0.2489 0.4813 0.7302
4 Na 0.3147 0.5024 0.3123
5 Na 0.7511 0.5187 0.2698
6 Na 0.7511 0.9813 0.7324
7 Ag 0.2526 0.7527 0.0000
8 Ag 0.7527 0.2527 0.0000
9 Sb 0.7214 0.5023 0.7191
10 Sb 0.7832 0.0023 0.2809

raw formation energy	-163	meV/atom
V	288	Å³ per cell
DOS(E_F)	2.5	states/eV per cell
space group	Ima2, No. 46
magnetization	0.0	μB/cell